Entry 1:
# Al2MoOs2

Al2MoOs2 after structural relaxation (PBE, the Alexandria database).

As for the calculated volume: 145.9 Å³/cell. As for the formation energy: -0.03 eV/atom. As for the total energy: -8.19 eV/atom. Its density of states at the Fermi level is 1.51 states/eV/atom. The offset from the most stable computed form comes out at 0.120 eV/atom. The calculation puts the total magnetization at 0.00 μB/cell.

The structure belongs to space group P4/mbm (No. 127); the cell edges are 7.110, 7.110 and 2.886 Å and the angles 90.00°, 90.00° and 90.00°. Symmetry generates all atoms from Al at (0.130, 0.370, 0.000), Mo at (0.000, 0.000, 0.000) and Os at (0.168, 0.668, 0.500).

---

Entry 2:
# Cs2TlPdAu

Cs2TlPdAu after structural relaxation (PBE, the Alexandria database).

As for the calculated volume: 230.3 Å³/cell. As for the formation energy: -0.05 eV/atom. As for the total energy: -2.56 eV/atom. Its density of states at the Fermi level is 0.15 states/eV/atom. The calculation puts the total magnetization at 0.00 μB/cell.

The structure belongs to space group P4/mmm (No. 123); the cell edges are 6.580, 6.580 and 5.319 Å and the angles 90.00°, 90.00° and 90.00°. Symmetry generates all atoms from Cs at (0.000, 0.500, 0.000), Tl at (0.000, 0.000, 0.500), Pd at (0.000, 0.000, 0.000) and Au at (0.500, 0.500, 0.500).

---

Entry 3:
# GaSb4Au2

GaSb4Au2 after structural relaxation (PBE, the Alexandria database).

As for the calculated volume: 808.7 Å³/cell. As for the total energy: -3.70 eV/atom. The raw formation energy is 27.0 meV per atom. Its density of states at the Fermi level is 0.40 states/eV/atom. The calculation puts the total magnetization at 0.00 μB/cell.

The structure belongs to space group C2/c (No. 15); the cell edges are 11.683, 11.813 and 8.263 Å and the angles 90.00°, 134.84° and 90.00°. Symmetry generates all atoms from Ga at (0.000, 0.124, 0.250), Sb at (0.001, 0.266, 0.527), Sb at (0.223, 0.484, 0.972), Au at (0.000, 0.500, 0.000) and Au at (0.250, 0.250, 0.000).

---

Entry 4:
# TaBi3C

TaBi3C after structural relaxation (PBE, the Alexandria database).

As for the calculated volume: 163.1 Å³/cell. As for the formation energy: 1.76 eV/atom. As for the total energy: -4.79 eV/atom. Its density of states at the Fermi level is 0.43 states/eV/atom. The offset from the most stable computed form comes out at 0.347 eV/atom. The calculation puts the total magnetization at 2.13 μB/cell.

The structure belongs to space group Pm-3m (No. 221); the cell edges are 5.464, 5.464 and 5.464 Å and the angles 90.00°, 90.00° and 90.00°. Symmetry generates all atoms from Ta at (0.000, 0.000, 0.000), Bi at (0.000, 0.000, 0.500) and C at (0.500, 0.500, 0.500).

---

Entry 5:
# ReRhBr2N

ReRhBr2N after structural relaxation (PBE, the Alexandria database).

As for the calculated volume: 131.1 Å³/cell. As for the total energy: -4.31 eV/atom. The raw formation energy is 1984.8 meV per atom. Its density of states at the Fermi level is 0.50 states/eV/atom. The calculation puts the total magnetization at 0.88 μB/cell.

The structure belongs to space group P4/mmm (No. 123); the cell edges are 5.198, 5.198 and 4.851 Å and the angles 90.00°, 90.00° and 90.00°. Symmetry generates all atoms from Re at (0.000, 0.000, 0.000), Rh at (0.000, 0.000, 0.500), Br at (0.000, 0.500, 0.500) and N at (0.500, 0.500, 0.000).

---

Entry 6:
# PrNd4Y6

PrNd4Y6 after structural relaxation (PBE, the Alexandria database).

As for the calculated volume: 382.4 Å³/cell. As for the formation energy: 0.15 eV/atom. As for the total energy: -5.54 eV/atom. Its density of states at the Fermi level is 1.54 states/eV/atom. The offset from the most stable computed form comes out at 0.049 eV/atom. The calculation puts the total magnetization at 0.00 μB/cell.

The structure belongs to space group P-6m2 (No. 187); the cell edges are 11.1101, 11.1101 and 3.5773 Å and the angles 90.00°, 90.00° and 120.00°. Symmetry generates all atoms from Pr at (0.0000, 0.0000, 0.0000), Nd at (0.3333, 0.6667, 0.0000), Nd at (0.3966, 0.1983, 0.5000), Y at (0.0074, 0.5037, 0.0000) and Y at (0.1697, 0.3394, 0.5000).